1.
This record from Alexandria via LeMat-Bulk describes a relaxed structure of Tb2SmDy4Sc. The functional is GGA-PBE.

Values from the calculation:
Calculated total energy   -4.810 eV/atom
DOS at the Fermi energy   11.4 states/eV per cell
SG   P4/mmm
Calculated formation energy   0.24 eV per formula unit

Cell lengths 4.979, 4.979, 9.968 Å; angles 90.00, 90.00, 90.00 degrees
Atoms (fractional coordinates):
Tb1 0.000 0.000 0.000
Tb2 0.500 0.500 0.500
Sm1 0.000 0.000 0.500
Dy1 0.000 0.500 0.244
Dy2 0.000 0.500 0.756
Dy3 0.500 0.000 0.244
Dy4 0.500 0.000 0.756
Sc1 0.500 0.500 0.000

---

2.
This record from Alexandria via LeMat-Bulk describes a relaxed structure of Tb2SmDy2Sc. The functional is GGA-PBE.

Values from the calculation:
Calculated total energy   -4.642 eV/atom
DOS at the Fermi energy   17.0 states/eV per cell
SG   Pnnm
Calculated formation energy   1.66 eV per formula unit

Cell lengths 6.538, 17.397, 3.332 Å; angles 90.00, 90.00, 90.00 degrees
Atoms (fractional coordinates):
Tb1 0.248 0.181 0.000
Tb2 0.252 0.681 0.500
Tb3 0.748 0.319 0.500
Tb4 0.752 0.819 0.000
Sm1 0.000 0.500 0.000
Sm2 0.500 0.000 0.500
Dy1 0.247 0.354 0.500
Dy2 0.253 0.854 0.000
Dy3 0.747 0.146 0.000
Dy4 0.753 0.646 0.500
Sc1 0.000 0.000 0.000
Sc2 0.500 0.500 0.500

---

3.
This record from Alexandria via LeMat-Bulk describes a relaxed structure of Tb3Sm6DySc2. The functional is GGA-PBE.

Values from the calculation:
Calculated total energy   -4.921 eV/atom
DOS at the Fermi energy   14.7 states/eV per cell
SG   C2/m
Calculated formation energy   0.42 eV per formula unit

Cell lengths 6.157, 6.157, 11.644 Å; angles 95.04, 95.04, 119.98 degrees
Atoms (fractional coordinates):
Tb1 0.000 0.000 0.000
Tb2 0.333 0.667 0.000
Tb3 0.667 0.333 0.000
Sm1 0.082 0.418 0.256
Sm2 0.245 0.245 0.744
Sm3 0.418 0.082 0.256
Sm4 0.582 0.918 0.744
Sm5 0.755 0.755 0.256
Sm6 0.918 0.582 0.744
Dy1 0.500 0.500 0.500
Sc1 0.167 0.833 0.500
Sc2 0.833 0.167 0.500

---

4.
This record from Alexandria via LeMat-Bulk describes a relaxed structure of TbSm3Dy6Sc2. The functional is GGA-PBE.

Values from the calculation:
Calculated total energy   -4.885 eV/atom
DOS at the Fermi energy   16.8 states/eV per cell
SG   C2/m
Calculated formation energy   0.45 eV per formula unit

Cell lengths 6.102, 6.102, 11.641 Å; angles 95.01, 95.01, 119.98 degrees
Atoms (fractional coordinates):
Tb1 0.000 0.000 0.000
Sm1 0.167 0.833 0.500
Sm2 0.500 0.500 0.500
Sm3 0.833 0.167 0.500
Dy1 0.081 0.417 0.243
Dy2 0.255 0.255 0.757
Dy3 0.417 0.081 0.243
Dy4 0.583 0.919 0.757
Dy5 0.745 0.745 0.243
Dy6 0.919 0.583 0.757
Sc1 0.333 0.667 0.000
Sc2 0.667 0.333 0.000

---

5.
This record from Alexandria via LeMat-Bulk describes a relaxed structure of Tb2Sm2DySc2. The functional is GGA-PBE.

Values from the calculation:
Calculated total energy   -5.001 eV/atom
DOS at the Fermi energy   10.3 states/eV per cell
SG   C2/m
Calculated formation energy   0.96 eV per formula unit

Cell lengths 5.961, 5.961, 11.176 Å; angles 99.74, 99.74, 33.23 degrees
Atoms (fractional coordinates):
Tb1 0.147 0.147 0.068
Tb2 0.853 0.853 0.932
Sm1 0.256 0.256 0.650
Sm2 0.744 0.744 0.350
Dy1 0.500 0.500 0.500
Sc1 0.439 0.439 0.197
Sc2 0.561 0.561 0.803

---

6.
This record from Alexandria via LeMat-Bulk describes a relaxed structure of Tb3Sm2Dy6Sc. The functional is GGA-PBE.

Values from the calculation:
Calculated total energy   -4.749 eV/atom
DOS at the Fermi energy   15.4 states/eV per cell
SG   C2/m
Calculated formation energy   0.29 eV per formula unit

Cell lengths 6.123, 6.123, 11.738 Å; angles 94.97, 94.97, 119.97 degrees
Atoms (fractional coordinates):
Tb1 0.000 0.000 0.000
Tb2 0.334 0.666 0.000
Tb3 0.666 0.334 0.000
Sm1 0.166 0.834 0.500
Sm2 0.834 0.166 0.500
Dy1 0.087 0.417 0.251
Dy2 0.252 0.252 0.749
Dy3 0.417 0.087 0.251
Dy4 0.583 0.913 0.749
Dy5 0.748 0.748 0.251
Dy6 0.913 0.583 0.749
Sc1 0.500 0.500 0.500

---

Which of these has the lowest DOS at the Fermi energy?
Tb2Sm2DySc2

---

Which value of calculated formation energy does entry 2 give?
1.66 eV per formula unit